1.
This record from the Open Quantum Materials Database describes an optimized crystal structure of Tb2GdIn3CuIr2. The functional is PBE.

Values from the calculation:
The symmetry is Amm2, No. 38. Its volume is 21.48 Å³/atom. As for the uncorrected energy: -49.18 eV for the cell shown.

abc: 3.894 7.574 7.574
angles: 120.09 90.00 90.00
Fractional coordinates of all 9 atoms:
Ir: 0.500 0.667 0.333
Ir: 0.500 0.333 0.667
Cu: 0.000 0.000 0.000
In: 0.500 0.747 0.000
In: 0.500 0.253 0.253
In: 0.500 0.000 0.747
Tb: 0.000 0.000 0.413
Tb: 0.000 0.413 0.000
Gd: 0.000 0.587 0.587

2.
This record from the Open Quantum Materials Database describes an optimized crystal structure of HoErTlN. The functional is PBE.

Values from the calculation:
The symmetry is P-6m2, No. 187. Its volume is 20.78 Å³/atom. As for the uncorrected energy: -47.81 eV for the cell shown.

abc: 3.504 3.504 15.633
angles: 90.00 90.00 120.00
Fractional coordinates of all 8 atoms:
N: 0.000 0.000 0.251
N: 0.000 0.000 0.749
Er: 0.333 0.667 0.334
Er: 0.333 0.667 0.666
Tl: 0.333 0.667 0.000
Tl: 0.667 0.333 0.500
Ho: 0.667 0.333 0.166
Ho: 0.667 0.333 0.834

3.
This record from the Open Quantum Materials Database describes an optimized crystal structure of Mg2Sc2ZnAu3. The functional is PBE.

Values from the calculation:
The symmetry is P-4m2, No. 115. Its volume is 18.57 Å³/atom. As for the uncorrected energy: -32.03 eV for the cell shown.

abc: 4.718 4.718 6.674
angles: 90.00 90.00 90.00
Fractional coordinates of all 8 atoms:
Sc: 0.000 0.500 0.250
Sc: 0.500 0.000 0.750
Mg: 0.500 0.000 0.251
Mg: 0.000 0.500 0.749
Au: 0.500 0.500 0.000
Au: 0.000 0.000 0.500
Au: 0.500 0.500 0.500
Zn: 0.000 0.000 0.000

4.
This record from the Open Quantum Materials Database describes an optimized crystal structure of ScSiPd2. The functional is PBE.

Values from the calculation:
The symmetry is P6_3/mmc, No. 194. Its volume is 16.47 Å³/atom. As for the uncorrected energy: -51.12 eV for the cell shown.

abc: 4.196 4.196 8.640
angles: 90.00 90.00 120.00
Fractional coordinates of all 8 atoms:
Pd: 0.667 0.333 0.083
Pd: 0.333 0.667 0.917
Pd: 0.667 0.333 0.417
Pd: 0.333 0.667 0.583
Sc: 0.667 0.333 0.750
Sc: 0.333 0.667 0.250
Si: 0.000 0.000 0.000
Si: 0.000 0.000 0.500

5.
This record from the Open Quantum Materials Database describes an optimized crystal structure of PrGdBi2S2. The functional is PBE.

Values from the calculation:
The symmetry is P4mm, No. 99. Its volume is 26.92 Å³/atom. As for the uncorrected energy: -33.53 eV for the cell shown.

abc: 4.255 4.255 8.918
angles: 90.00 90.00 90.00
Fractional coordinates of all 6 atoms:
Bi: 0.500 0.000 0.996
Bi: 0.000 0.500 0.996
Gd: 0.000 0.000 0.684
S: 0.500 0.500 0.632
S: 0.000 0.000 0.377
Pr: 0.500 0.500 0.315

6.
This record from the Open Quantum Materials Database describes an optimized crystal structure of BeSb2Au. The functional is PBE.

Values from the calculation:
The symmetry is F-43m, No. 216. Its volume is 21.50 Å³/atom. As for the uncorrected energy: -12.97 eV for the cell shown.

abc: 4.955 4.955 4.955
angles: 60.00 60.00 60.00
Fractional coordinates of all 4 atoms:
Sb: 0.250 0.250 0.250
Sb: 0.000 0.000 0.000
Au: 0.500 0.500 0.500
Be: 0.750 0.750 0.750

7.
This record from the Open Quantum Materials Database describes an optimized crystal structure of AlTlCu. The functional is PBE.

Values from the calculation:
As for the distance to the lowest polymorph of the same formula: 393 meV per atom. The symmetry is F-43m, No. 216. Its volume is 20.76 Å³/atom. As for the uncorrected energy: -8.50 eV for the cell shown.

abc: 4.449 4.449 4.449
angles: 60.00 60.00 60.00
Fractional coordinates of all 3 atoms:
Tl: 0.000 0.000 0.000
Cu: 0.750 0.750 0.750
Al: 0.250 0.250 0.250

8.
This record from the Open Quantum Materials Database describes an optimized crystal structure of FeSbS. The functional is PBE.

Values from the calculation:
The symmetry is P2/m, No. 10. Its volume is 18.10 Å³/atom. As for the uncorrected energy: -34.41 eV for the cell shown.

abc: 5.430 3.370 6.063
angles: 90.00 101.86 90.00
Fractional coordinates of all 6 atoms:
Fe: 0.000 0.000 0.000
Fe: 0.500 0.500 0.500
Sb: 0.774 0.000 0.334
Sb: 0.226 0.000 0.666
S: 0.776 0.500 0.824
S: 0.224 0.500 0.176

9.
This record from the Open Quantum Materials Database describes an optimized crystal structure of PrTeW. The functional is PBE.

Values from the calculation:
As for the distance to the lowest polymorph of the same formula: 0 meV per atom. The symmetry is F-43m, No. 216. Its volume is 27.12 Å³/atom. As for the uncorrected energy: -18.63 eV for the cell shown.

abc: 4.864 4.864 4.864
angles: 60.00 60.00 60.00
Fractional coordinates of all 3 atoms:
Pr: 0.250 0.250 0.250
W: 0.750 0.750 0.750
Te: 0.000 0.000 0.000

10.
This record from the Open Quantum Materials Database describes an optimized crystal structure of MgScAlFe. The functional is PBE.

Values from the calculation:
As for the distance to the lowest polymorph of the same formula: 15 meV per atom. The symmetry is F-43m, No. 216. Its volume is 16.03 Å³/atom. As for the uncorrected energy: -20.08 eV for the cell shown.

abc: 4.493 4.493 4.493
angles: 60.00 60.00 60.00
Fractional coordinates of all 4 atoms:
Al: 0.250 0.250 0.250
Mg: 0.000 0.000 0.000
Sc: 0.750 0.750 0.750
Fe: 0.500 0.500 0.500

11.
This record from the Open Quantum Materials Database describes an optimized crystal structure of TlOsAu3S4. The functional is PBE.

Values from the calculation:
The symmetry is P-43m, No. 215. Its volume is 26.86 Å³/atom. As for the uncorrected energy: -37.80 eV for the cell shown.

abc: 6.230 6.230 6.230
angles: 90.00 90.00 90.00
Fractional coordinates of all 9 atoms:
Os: 0.000 0.000 0.000
S: 0.790 0.790 0.790
S: 0.790 0.210 0.210
S: 0.210 0.790 0.210
S: 0.210 0.210 0.790
Au: 0.000 0.000 0.500
Au: 0.000 0.500 0.000
Au: 0.500 0.000 0.000
Tl: 0.500 0.500 0.500

12.
This record from the Open Quantum Materials Database describes an optimized crystal structure of SmPaPb. The functional is PBE.

Values from the calculation:
As for the distance to the lowest polymorph of the same formula: 0 meV per atom. The symmetry is P4/nmm, No. 129. Its volume is 29.95 Å³/atom. As for the uncorrected energy: -35.12 eV for the cell shown.

abc: 4.512 4.512 8.826
angles: 90.00 90.00 90.00
Fractional coordinates of all 6 atoms:
Pb: 0.500 0.000 0.278
Pb: 0.000 0.500 0.722
Pa: 0.500 0.000 0.638
Pa: 0.000 0.500 0.362
Sm: 0.500 0.500 0.000
Sm: 0.000 0.000 0.000